# PBE-GGA K4Nd3ScTe8, relaxed
# Calculated volume (Å³ per cell): 1772.7
# Spin magnetization (μB/cell): 0.00
# Energy relative to the elements, uncorrected (meV/atom): -1365
# Final energy (eV/atom): -4.500
data_K4Nd3ScTe8
_cell_length_a 9.0959
_cell_length_b 9.0959
_cell_length_c 24.7391
_cell_angle_alpha 90.00
_cell_angle_beta 90.00
_cell_angle_gamma 120.00
_space_group_name_H-M_alt 'R -3 m'
_space_group_IT_number 166
_space_group_name_Hall '-R 3 2"'
loop_
_atom_site_label
_atom_site_fract_x
_atom_site_fract_y
_atom_site_fract_z
_atom_site_occupancy
K1 0.0000 0.0000 0.0000 1
K2 0.0000 0.5000 0.0000 1
Nd1 0.0000 0.5000 0.5000 1
Sc1 0.0000 0.0000 0.5000 1
Te1 0.0000 0.0000 0.2391 1
Te2 0.0168 0.5084 0.2359 1